Entry 1:
A geometry-optimized La2ScIr structure, computed with PBE-GGA.

Properties
Its magnetization is 0.03 Bohr magnetons per cell. The calculation puts the formation energy at -0.2051 eV per atom. The value obtained for the uncorrected energy is -6.467 eV/atom. The volume comes out at 30.73 Å³ per atom.

Cell and atoms, written as POSCAR:
```
La2ScIr
1.0
-6.991 -5.759 1.934
-3.816 -8.133 2.253
-4.881 -5.815 5.305
Ir La Sc
1 2 1
Direct
0.750 0.750 0.750
0.020 0.020 0.020
0.480 0.480 0.480
0.250 0.250 0.250
```

Entry 2:
A geometry-optimized Al4Pb structure, computed with PBE-GGA.

Properties
Its magnetization is 0.00 Bohr magnetons per cell. The calculation puts the formation energy at 0.1534 eV per atom. The value obtained for the uncorrected energy is -3.582 eV/atom. The volume comes out at 21.21 Å³ per atom.

Cell and atoms, written as POSCAR:
```
Al4Pb
1.0
6.205 2.506 0.905
1.744 5.920 2.740
-3.850 -5.483 0.843
Al Pb
4 1
Direct
0.750 0.250 0.500
0.250 0.750 0.500
0.607 0.607 0.000
0.393 0.393 0.000
0.000 0.000 0.000
```

Entry 3:
A geometry-optimized CsIn2Te2 structure, computed with PBE-GGA.

Properties
The formation energy without anion corrections is -0.3905 eV per atom. Its magnetization is 0.00 Bohr magnetons per cell. The value obtained for the uncorrected energy is -2.913 eV/atom. The volume comes out at 34.93 Å³ per atom.

Cell and atoms, written as POSCAR:
```
CsIn2Te2
1.0
9.193 0.000 0.000
0.000 9.193 0.000
0.000 0.000 4.133
Cs Te In
2 4 4
Direct
0.000 0.000 0.000
0.500 0.500 0.000
0.167 0.667 0.500
0.667 0.833 0.500
0.833 0.333 0.500
0.333 0.167 0.500
0.378 0.878 0.000
0.878 0.622 0.000
0.622 0.122 0.000
0.122 0.378 0.000
```

Entry 4:
A geometry-optimized CaPr3Ag2 structure, computed with PBE-GGA.

Properties
Its magnetization is 0.00 Bohr magnetons per cell. The calculation puts the formation energy at -0.1575 eV per atom. The value obtained for the uncorrected energy is -3.831 eV/atom. The volume comes out at 30.53 Å³ per atom.

Cell and atoms, written as POSCAR:
```
CaPr3Ag2
1.0
5.213 0.000 0.000
0.000 7.377 0.000
0.000 0.000 9.525
Ca Pr Ag
2 6 4
Direct
0.500 0.519 0.565
0.500 0.019 0.435
0.000 0.482 0.932
0.000 0.982 0.068
0.500 0.654 0.169
0.500 0.154 0.831
0.000 0.347 0.322
0.000 0.847 0.678
0.500 0.736 0.851
0.500 0.236 0.149
0.000 0.261 0.643
0.000 0.761 0.357
```

Entry 5:
A geometry-optimized Ce2GaAs structure, computed with PBE-GGA.

Properties
Its magnetization is 0.94 Bohr magnetons per cell. The calculation puts the formation energy at -0.7657 eV per atom. The value obtained for the uncorrected energy is -5.652 eV/atom. The volume comes out at 23.72 Å³ per atom.

Cell and atoms, written as POSCAR:
```
Ce2GaAs
1.0
3.522 0.000 0.000
0.000 3.522 0.000
0.000 0.000 7.650
As Ga Ce
1 1 2
Direct
0.500 0.500 0.000
0.500 0.500 0.500
0.000 0.000 0.766
0.000 0.000 0.234
```

Entry 6:
A geometry-optimized ZrAlPt3 structure, computed with PBE-GGA.

Properties
Its magnetization is 0.00 Bohr magnetons per cell. The calculation puts the formation energy at 0.7231 eV per atom. The value obtained for the uncorrected energy is -5.360 eV/atom. The volume comes out at 24.76 Å³ per atom.

Cell and atoms, written as POSCAR:
```
ZrAlPt3
1.0
4.984 0.000 0.000
0.000 4.984 0.000
0.000 0.000 4.984
Zr Pt Al
1 3 1
Direct
0.000 0.000 0.000
0.000 0.500 0.000
0.000 0.000 0.500
0.500 0.000 0.000
0.500 0.500 0.500
```